Entry 1:
## AlReAu3 (PBE)

Data for a relaxed AlReAu3 crystal.

abc: 4.7308 4.7308 4.7308
angles: 90.00 90.00 90.00
Element x y z (fractional)
Al1 0.0000 0.0000 0.0000
Re1 0.5000 0.5000 0.5000
Au1 0.0000 0.0000 0.5000
Au2 0.0000 0.5000 0.0000
Au3 0.5000 0.0000 0.0000

Values from the calculation:
The value obtained for the spin magnetization is 3.76 μB/f.u. The calculation puts the energy relative to the elements at 1189 meV/atom. As for the volume: 21.2 Å³ per atom. The energy above the most stable polymorph in this dataset is 0.000 eV/atom.



Entry 2:
## AlReAu2 (PBE)

Data for a relaxed AlReAu2 crystal.

abc: 10.2179 10.2179 10.2179
angles: 158.68 158.68 30.33
Element x y z (fractional)
Al1 0.0000 0.0000 0.0000
Al2 0.7500 0.2500 0.5000
Re1 0.2500 0.7500 0.5000
Re2 0.5000 0.5000 0.0000
Au1 0.1261 0.6250 0.0011
Au2 0.3750 0.3761 0.5011
Au3 0.6239 0.1250 0.9989
Au4 0.8750 0.8739 0.4989

Values from the calculation:
The value obtained for the spin magnetization is 0.00 μB/f.u. The calculation puts the energy relative to the elements at 511 meV/atom. As for the volume: 17.6 Å³ per atom.